DFT (PBE) results for crystalline MnBAuI at its relaxed geometry.

Cell lengths 7.5771, 3.5110, 6.0960 Å; angles 90.00, 105.48, 90.00 degrees
Closest atoms and distances in Å follow each position.
Element x y z (fractional)
I1 0.7033 0.0000 0.9642  1 Mn 2.60
I2 0.7033 0.5000 0.4642  1 Mn 2.60
B1 0.1518 0.0000 0.4492  3 Mn 2.14, 3 Au 2.31
B2 0.1518 0.5000 0.9492  3 Mn 2.14, 3 Au 2.31
Mn1 0.0595 0.0000 0.0850  3 B 2.14
Mn2 0.0595 0.5000 0.5850  3 B 2.14
Au1 0.3023 0.0000 0.8324  3 B 2.31
Au2 0.3023 0.5000 0.3324  3 B 2.31

Results
Uncorrected energy: -4.785 eV/atom
Total moment: 2.3 μB per formula unit
N(E_F): 5.22 states/eV/cell
ΔE to the lowest computed polymorph: 0.19 eV per formula unit
Crystal system: monoclinic